A geometry-optimized Sr3ErAl2O8 structure, computed with PBE.

Geometry as CIF:
```
data_Sr3ErAl2O8
_cell_length_a 5.8060
_cell_length_b 5.8060
_cell_length_c 7.2165
_cell_angle_alpha 90.00
_cell_angle_beta 90.00
_cell_angle_gamma 120.00
_space_group_name_H-M_alt 'P -3 m 1'
_space_group_IT_number 164
_space_group_name_Hall '-P 3 2"'
loop_
_atom_site_label
_atom_site_fract_x
_atom_site_fract_y
_atom_site_fract_z
Sr1 0.0000 0.0000 0.0000
Sr2 0.3333 0.6667 0.6518
Er1 0.0000 0.0000 0.5000
Al1 0.3333 0.6667 0.2121
O1 0.1724 0.3449 0.3120
O2 0.3333 0.6667 0.9715
```

Calculated values
Energy relative to the elements, uncorrected (eV per atom): -2.87
M_tot (μB per cell): 1.0